A relaxed La2CrOs crystal. Source: the Alexandria database, functional PBE.

- relative energy among the computed polymorphs (meV/atom) = 182.0
- Fermi-level density of states (states/eV per cell) = 5.06
- crystal system = tetragonal
- formation energy (eV per atom) = 0.239

a b c (Å): 3.125 3.125 9.279
angles (deg): 90.00 90.00 90.00
Space group P4mm (No. 99)
Unique sites:
La1 0.000 0.000 0.000 x1
La2 0.500 0.500 0.385 x1
Cr1 0.500 0.500 0.758 x1
Os1 0.000 0.000 0.630 x1